This record from Alexandria describes a relaxed MnSbSe2N crystal. The functional is PBE.

Cell lengths 5.366, 5.366, 3.900 Å; angles 90.00, 90.00, 90.00 degrees
Sites, in units of the cell vectors:
Mn 0.000 0.000 0.000
Sb 0.500 0.500 0.500
Se 0.000 0.500 0.500
Se 0.500 0.000 0.500
N 0.500 0.500 0.000

The value obtained for the volume is 112.3 Å³/cell. The formation energy (no corrections) is 4.2 eV/f.u. Its distance to the lowest polymorph of the same formula is 342 kJ/mol of formula units.